[1]
# Cu2C (PBE-GGA, relaxed)
# VASP energy   -0.30876 Ry/atom
# Offset from the most stable computed form   0.4174 eV per atom
data_Cu2C
_chemical_formula_sum 'Cu4 C2'
_symmetry_space_group_name_H-M 'P 1'
_symmetry_Int_Tables_number 1
_cell_length_a 5.9815
_cell_length_b 5.9815
_cell_length_c 5.9815
_cell_angle_alpha 60.00
_cell_angle_beta 60.00
_cell_angle_gamma 60.00
loop_
_symmetry_equiv_pos_as_xyz
'x,y,z'
loop_
_atom_site_label
_atom_site_type_symbol
_atom_site_fract_x
_atom_site_fract_y
_atom_site_fract_z
C1 C 0.2500 0.2500 0.2500
C2 C 0.5000 0.5000 0.5000
Cu1 Cu 0.8750 0.3750 0.3750
Cu2 Cu 0.3750 0.3750 0.3750
Cu3 Cu 0.3750 0.8750 0.3750
Cu4 Cu 0.3750 0.3750 0.8750



[2]
# Cu5C (PBE-GGA, relaxed)
# VASP energy   -0.25533 Ry/atom
data_Cu5C
_chemical_formula_sum 'Cu5 C1'
_symmetry_space_group_name_H-M 'P 1'
_symmetry_Int_Tables_number 1
_cell_length_a 4.6221
_cell_length_b 4.6221
_cell_length_c 4.2598
_cell_angle_alpha 90.00
_cell_angle_beta 90.00
_cell_angle_gamma 120.00
loop_
_symmetry_equiv_pos_as_xyz
'x,y,z'
loop_
_atom_site_label
_atom_site_type_symbol
_atom_site_fract_x
_atom_site_fract_y
_atom_site_fract_z
C1 C 0.0000 0.0000 0.0000
Cu1 Cu 0.6667 0.3333 0.0000
Cu2 Cu 0.3333 0.6667 0.0000
Cu3 Cu 0.5000 0.0000 0.5000
Cu4 Cu 0.0000 0.5000 0.5000
Cu5 Cu 0.5000 0.5000 0.5000



[3]
# Cu4C3 (PBE-GGA, relaxed)
# VASP energy   -0.34056 Ry/atom
data_Cu4C3
_chemical_formula_sum 'Cu4 C3'
_symmetry_space_group_name_H-M 'P 1'
_symmetry_Int_Tables_number 1
_cell_length_a 9.2919
_cell_length_b 9.2919
_cell_length_c 9.2919
_cell_angle_alpha 18.46
_cell_angle_beta 18.46
_cell_angle_gamma 18.46
loop_
_symmetry_equiv_pos_as_xyz
'x,y,z'
loop_
_atom_site_label
_atom_site_type_symbol
_atom_site_fract_x
_atom_site_fract_y
_atom_site_fract_z
C1 C 0.0021 0.0021 0.0021
C2 C 0.4263 0.4263 0.4263
C3 C 0.5779 0.5779 0.5779
Cu1 Cu 0.1316 0.1316 0.1316
Cu2 Cu 0.2905 0.2905 0.2905
Cu3 Cu 0.7138 0.7138 0.7138
Cu4 Cu 0.8727 0.8727 0.8727



[4]
# CuC2 (PBE-GGA, relaxed)
# VASP energy   -0.33628 Ry/atom
# Offset from the most stable computed form   0.8396 eV per atom
data_CuC2
_chemical_formula_sum 'Cu2 C4'
_symmetry_space_group_name_H-M 'P 1'
_symmetry_Int_Tables_number 1
_cell_length_a 4.1661
_cell_length_b 4.1661
_cell_length_c 4.1661
_cell_angle_alpha 60.00
_cell_angle_beta 60.00
_cell_angle_gamma 60.00
loop_
_symmetry_equiv_pos_as_xyz
'x,y,z'
loop_
_atom_site_label
_atom_site_type_symbol
_atom_site_fract_x
_atom_site_fract_y
_atom_site_fract_z
C1 C 0.6250 0.6250 0.1250
C2 C 0.6250 0.1250 0.6250
C3 C 0.1250 0.6250 0.6250
C4 C 0.6250 0.6250 0.6250
Cu1 Cu 0.0000 0.0000 0.0000
Cu2 Cu 0.2500 0.2500 0.2500



[5]
# Cu2C (PBE-GGA, relaxed)
# VASP energy   -0.26351 Ry/atom
# Offset from the most stable computed form   1.0330 eV per atom
data_Cu2C
_chemical_formula_sum 'Cu4 C2'
_symmetry_space_group_name_H-M 'P 1'
_symmetry_Int_Tables_number 1
_cell_length_a 4.6685
_cell_length_b 4.6685
_cell_length_c 4.6685
_cell_angle_alpha 60.00
_cell_angle_beta 60.00
_cell_angle_gamma 60.00
loop_
_symmetry_equiv_pos_as_xyz
'x,y,z'
loop_
_atom_site_label
_atom_site_type_symbol
_atom_site_fract_x
_atom_site_fract_y
_atom_site_fract_z
C1 C 0.0000 0.0000 0.0000
C2 C 0.2500 0.2500 0.2500
Cu1 Cu 0.6250 0.6250 0.1250
Cu2 Cu 0.6250 0.1250 0.6250
Cu3 Cu 0.1250 0.6250 0.6250
Cu4 Cu 0.6250 0.6250 0.6250



[6]
# Dy2CuC4 (PBE-GGA, relaxed)
# VASP energy   -0.53075 Ry/atom
data_Dy2CuC4
_chemical_formula_sum 'Dy4 Cu2 C8'
_symmetry_space_group_name_H-M 'P 1'
_symmetry_Int_Tables_number 1
_cell_length_a 6.6494
_cell_length_b 6.6494
_cell_length_c 6.6494
_cell_angle_alpha 111.11
_cell_angle_beta 86.01
_cell_angle_gamma 135.18
loop_
_symmetry_equiv_pos_as_xyz
'x,y,z'
loop_
_atom_site_label
_atom_site_type_symbol
_atom_site_fract_x
_atom_site_fract_y
_atom_site_fract_z
C1 C 0.4063 0.6801 0.0864
C2 C 0.3721 0.8527 0.2247
C3 C 0.0937 0.1801 0.2738
C4 C 0.1279 0.3527 0.4806
C5 C 0.8721 0.6473 0.5194
C6 C 0.9063 0.8199 0.7262
C7 C 0.6279 0.1473 0.7753
C8 C 0.5937 0.3199 0.9136
Cu1 Cu 0.2500 0.2500 0.0000
Cu2 Cu 0.7500 0.7500 0.0000
Dy1 Dy 0.8597 0.3346 0.1943
Dy2 Dy 0.6403 0.8346 0.4749
Dy3 Dy 0.3597 0.1654 0.5251
Dy4 Dy 0.1403 0.6654 0.8057



[7]
# CuH4C10N4F14 (PBE-GGA, relaxed)
# VASP energy   -0.43585 Ry/atom
data_CuH4C10N4F14
_chemical_formula_sum 'Cu2 H8 C20 N8 F28'
_symmetry_space_group_name_H-M 'P 1'
_symmetry_Int_Tables_number 1
_cell_length_a 7.6789
_cell_length_b 8.9044
_cell_length_c 11.6280
_cell_angle_alpha 90.00
_cell_angle_beta 130.30
_cell_angle_gamma 90.00
loop_
_symmetry_equiv_pos_as_xyz
'x,y,z'
loop_
_atom_site_label
_atom_site_type_symbol
_atom_site_fract_x
_atom_site_fract_y
_atom_site_fract_z
C1 C 0.2610 0.1849 0.0666
C2 C 0.9487 0.8373 0.0761
C3 C 0.2608 0.2883 0.1694
C4 C 0.7709 0.4514 0.1709
C5 C 0.9873 0.9372 0.1820
C6 C 0.0127 0.4372 0.3180
C7 C 0.2291 0.9514 0.3291
C8 C 0.7392 0.7883 0.3306
C9 C 0.0513 0.3373 0.4239
C10 C 0.7390 0.6849 0.4334
C11 C 0.2610 0.3151 0.5666
C12 C 0.9487 0.6627 0.5761
C13 C 0.2608 0.2117 0.6694
C14 C 0.7709 0.0486 0.6709
C15 C 0.9873 0.5628 0.6820
C16 C 0.0127 0.0628 0.8180
C17 C 0.2291 0.5486 0.8291
C18 C 0.7392 0.7117 0.8306
C19 C 0.0513 0.1627 0.9239
C20 C 0.7390 0.8151 0.9334
Cu1 Cu 0.5000 0.0000 0.0000
Cu2 Cu 0.5000 0.5000 0.5000
F1 F 0.7005 0.3268 0.0840
F2 F 0.7512 0.5680 0.0886
F3 F 0.1277 0.7491 0.1153
F4 F 0.2061 0.4322 0.1178
F5 F 0.1031 0.2412 0.1797
F6 F 0.5339 0.7897 0.1896
F7 F 0.6224 0.4758 0.1954
F8 F 0.3776 0.9758 0.3046
F9 F 0.4661 0.2897 0.3104
F10 F 0.8969 0.7412 0.3203
F11 F 0.7939 0.9322 0.3822
F12 F 0.8723 0.2491 0.3847
F13 F 0.2488 0.0680 0.4114
F14 F 0.2995 0.8268 0.4160
F15 F 0.7005 0.1732 0.5840
F16 F 0.7512 0.9320 0.5886
F17 F 0.1277 0.7509 0.6153
F18 F 0.2061 0.0678 0.6178
F19 F 0.1031 0.2588 0.6797
F20 F 0.5339 0.7103 0.6896
F21 F 0.6224 0.0242 0.6954
F22 F 0.3776 0.5242 0.8046
F23 F 0.4661 0.2103 0.8104
F24 F 0.8969 0.7588 0.8203
F25 F 0.7939 0.5678 0.8822
F26 F 0.8723 0.2509 0.8847
F27 F 0.2488 0.4320 0.9114
F28 F 0.2995 0.6732 0.9160
H1 H 0.5846 0.1420 0.2257
H2 H 0.8849 0.0875 0.2490
H3 H 0.1151 0.5875 0.2510
H4 H 0.4154 0.6420 0.2743
H5 H 0.5846 0.3580 0.7257
H6 H 0.8849 0.4125 0.7490
H7 H 0.1151 0.9125 0.7510
H8 H 0.4154 0.8580 0.7743
N1 N 0.4500 0.1191 0.1155
N2 N 0.8258 0.0179 0.1609
N3 N 0.1742 0.5179 0.3391
N4 N 0.5500 0.6191 0.3845
N5 N 0.4500 0.3809 0.6155
N6 N 0.8258 0.4821 0.6609
N7 N 0.1742 0.9821 0.8391
N8 N 0.5500 0.8809 0.8845



[8]
# ZrCuH16C24N4F6 (PBE-GGA, relaxed)
# VASP energy   -0.49623 Ry/atom
data_ZrCuH16C24N4F6
_chemical_formula_sum 'Zr1 Cu1 H16 C24 N4 F6'
_symmetry_space_group_name_H-M 'P 1'
_symmetry_Int_Tables_number 1
_cell_length_a 10.4996
_cell_length_b 10.4996
_cell_length_c 10.4996
_cell_angle_alpha 99.26
_cell_angle_beta 99.26
_cell_angle_gamma 132.69
loop_
_symmetry_equiv_pos_as_xyz
'x,y,z'
loop_
_atom_site_label
_atom_site_type_symbol
_atom_site_fract_x
_atom_site_fract_y
_atom_site_fract_z
C1 C 0.5602 0.3616 0.1986
C2 C 0.8370 0.6384 0.1986
C3 C 0.3616 0.5602 0.1986
C4 C 0.6384 0.8370 0.1986
C5 C 0.6565 0.3563 0.3001
C6 C 0.9438 0.6437 0.3001
C7 C 0.3563 0.6565 0.3001
C8 C 0.6437 0.9438 0.3001
C9 C 0.8523 0.5000 0.3523
C10 C 0.5000 0.8523 0.3523
C11 C 0.9554 0.5000 0.4554
C12 C 0.5000 0.9554 0.4554
C13 C 0.5000 0.0446 0.5446
C14 C 0.0446 0.5000 0.5446
C15 C 0.5000 0.1477 0.6477
C16 C 0.1477 0.5000 0.6477
C17 C 0.3563 0.0562 0.6999
C18 C 0.6437 0.3435 0.6999
C19 C 0.0562 0.3563 0.6999
C20 C 0.3435 0.6437 0.6999
C21 C 0.3616 0.1630 0.8014
C22 C 0.1630 0.3616 0.8014
C23 C 0.6384 0.4398 0.8014
C24 C 0.4398 0.6384 0.8014
Cu1 Cu 0.5000 0.5000 0.0000
F1 F 0.8945 0.1055 0.0000
F2 F 0.2411 0.2411 0.0000
F3 F 0.7589 0.7589 0.0000
F4 F 0.1055 0.8945 0.0000
F5 F 0.1055 0.1055 0.2110
F6 F 0.8945 0.8945 0.7890
H1 H 0.2533 0.4086 0.1552
H2 H 0.7467 0.9019 0.1552
H3 H 0.4086 0.2533 0.1552
H4 H 0.9019 0.7467 0.1552
H5 H 0.7571 0.0956 0.3385
H6 H 0.5815 0.2429 0.3385
H7 H 0.2429 0.5815 0.3385
H8 H 0.0956 0.7571 0.3385
H9 H 0.9044 0.2429 0.6615
H10 H 0.7571 0.4185 0.6615
H11 H 0.4185 0.7571 0.6615
H12 H 0.2429 0.9044 0.6615
H13 H 0.2533 0.0981 0.8448
H14 H 0.0981 0.2533 0.8448
H15 H 0.7467 0.5914 0.8448
H16 H 0.5914 0.7467 0.8448
N1 N 0.6489 0.5000 0.1489
N2 N 0.5000 0.6489 0.1489
N3 N 0.5000 0.3511 0.8511
N4 N 0.3511 0.5000 0.8511
Zr1 Zr 0.0000 0.0000 0.0000



[9]
# Hf4FeCuC2 (PBE-GGA, relaxed)
# VASP energy   -0.67464 Ry/atom
data_Hf4FeCuC2
_chemical_formula_sum 'Hf4 Fe1 Cu1 C2'
_symmetry_space_group_name_H-M 'P 1'
_symmetry_Int_Tables_number 1
_cell_length_a 3.2376
_cell_length_b 3.2376
_cell_length_c 13.4373
_cell_angle_alpha 90.00
_cell_angle_beta 90.00
_cell_angle_gamma 120.00
loop_
_symmetry_equiv_pos_as_xyz
'x,y,z'
loop_
_atom_site_label
_atom_site_type_symbol
_atom_site_fract_x
_atom_site_fract_y
_atom_site_fract_z
C1 C 0.3333 0.6667 0.2509
C2 C 0.3333 0.6667 0.7491
Cu1 Cu 0.0000 0.0000 0.0000
Fe1 Fe 0.6667 0.3333 0.5000
Hf1 Hf 0.6667 0.3333 0.1567
Hf2 Hf 0.0000 0.0000 0.3531
Hf3 Hf 0.0000 0.0000 0.6469
Hf4 Hf 0.6667 0.3333 0.8433



[10]
# K2FeCuC6N6 (PBE-GGA, relaxed)
# VASP energy   -0.54700 Ry/atom
data_K2FeCuC6N6
_chemical_formula_sum 'K2 Fe1 Cu1 C6 N6'
_symmetry_space_group_name_H-M 'P 1'
_symmetry_Int_Tables_number 1
_cell_length_a 6.8740
_cell_length_b 6.9793
_cell_length_c 7.0190
_cell_angle_alpha 118.45
_cell_angle_beta 117.77
_cell_angle_gamma 91.02
loop_
_symmetry_equiv_pos_as_xyz
'x,y,z'
loop_
_atom_site_label
_atom_site_type_symbol
_atom_site_fract_x
_atom_site_fract_y
_atom_site_fract_z
C1 C 0.3121 0.6866 0.0074
C2 C 0.7209 0.7308 0.0807
C3 C 0.6307 0.6243 0.3515
C4 C 0.3693 0.3757 0.6485
C5 C 0.2791 0.2692 0.9193
C6 C 0.6879 0.3134 0.9926
Cu1 Cu 0.0000 0.0000 0.0000
Fe1 Fe 0.5000 0.5000 0.0000
K1 K 0.2253 0.7265 0.4728
K2 K 0.7747 0.2735 0.5272
N1 N 0.1951 0.8077 0.0139
N2 N 0.8625 0.8825 0.1411
N3 N 0.2922 0.3027 0.4291
N4 N 0.7078 0.6973 0.5709
N5 N 0.1375 0.1175 0.8589
N6 N 0.8049 0.1923 0.9861



[11]
# Lu4FeCuC2 (PBE-GGA, relaxed)
# VASP energy   -0.45325 Ry/atom
data_Lu4FeCuC2
_chemical_formula_sum 'Lu4 Fe1 Cu1 C2'
_symmetry_space_group_name_H-M 'P 1'
_symmetry_Int_Tables_number 1
_cell_length_a 3.4960
_cell_length_b 3.4960
_cell_length_c 13.6795
_cell_angle_alpha 90.00
_cell_angle_beta 90.00
_cell_angle_gamma 120.00
loop_
_symmetry_equiv_pos_as_xyz
'x,y,z'
loop_
_atom_site_label
_atom_site_type_symbol
_atom_site_fract_x
_atom_site_fract_y
_atom_site_fract_z
C1 C 0.6667 0.3333 0.2522
C2 C 0.6667 0.3333 0.7478
Cu1 Cu 0.0000 0.0000 0.5000
Fe1 Fe 0.3333 0.6667 0.0000
Lu1 Lu 0.0000 0.0000 0.1524
Lu2 Lu 0.3333 0.6667 0.3438
Lu3 Lu 0.3333 0.6667 0.6562
Lu4 Lu 0.0000 0.0000 0.8476



[12]
# Nb4FeCuC2 (PBE-GGA, relaxed)
# VASP energy   -0.66158 Ry/atom
data_Nb4FeCuC2
_chemical_formula_sum 'Nb4 Fe1 Cu1 C2'
_symmetry_space_group_name_H-M 'P 1'
_symmetry_Int_Tables_number 1
_cell_length_a 3.1227
_cell_length_b 3.1227
_cell_length_c 13.1882
_cell_angle_alpha 90.00
_cell_angle_beta 90.00
_cell_angle_gamma 120.00
loop_
_symmetry_equiv_pos_as_xyz
'x,y,z'
loop_
_atom_site_label
_atom_site_type_symbol
_atom_site_fract_x
_atom_site_fract_y
_atom_site_fract_z
C1 C 0.3333 0.6667 0.2530
C2 C 0.3333 0.6667 0.7470
Cu1 Cu 0.0000 0.0000 0.0000
Fe1 Fe 0.6667 0.3333 0.5000
Nb1 Nb 0.6667 0.3333 0.1598
Nb2 Nb 0.0000 0.0000 0.3497
Nb3 Nb 0.0000 0.0000 0.6503
Nb4 Nb 0.6667 0.3333 0.8402